[1]
YTaSe4 | PBE | optimized geometry

Cell: 5.711 5.711 5.711 Å, 60.00 60.00 60.00°
Positions (direct):
Y (0.000, 0.000, 0.000)
Ta (0.250, 0.250, 0.250)
Se (0.126, 0.625, 0.625)
Se (0.625, 0.126, 0.625)
Se (0.625, 0.625, 0.126)
Se (0.625, 0.625, 0.625)

Summary:
The uncorrected energy comes out at -4.835 eV/atom. The uncorrected formation energy is 0.54 eV per atom.



[2]
Ba2AgAu2 | PBE | optimized geometry

Cell: 9.027 9.027 4.280 Å, 90.00 90.00 90.00°
Positions (direct):
Ba (0.174, 0.326, 0.000)
Ba (0.326, 0.826, 0.000)
Ba (0.674, 0.174, 0.000)
Ba (0.826, 0.674, 0.000)
Ag (0.000, 0.000, 0.000)
Ag (0.500, 0.500, 0.000)
Au (0.117, 0.617, 0.500)
Au (0.383, 0.117, 0.500)
Au (0.617, 0.883, 0.500)
Au (0.883, 0.383, 0.500)

Summary:
The uncorrected energy comes out at -3.051 eV/atom. For the energy of formation from the pure elements, the calculation gives -400 meV/atom. The value obtained for the offset from the most stable computed form is 0.97 eV per formula unit.



[3]
VSi2S | PBE | optimized geometry

Cell: 5.977 5.977 5.977 Å, 119.67 119.67 90.58°
Positions (direct):
V (0.000, 0.000, 0.000)
V (0.750, 0.250, 0.500)
Si (0.149, 0.125, 0.524)
Si (0.375, 0.851, 0.976)
Si (0.601, 0.625, 0.476)
Si (0.875, 0.399, 0.024)
S (0.250, 0.750, 0.500)
S (0.500, 0.500, 0.000)

Summary:
The uncorrected energy comes out at -5.516 eV/atom. The uncorrected formation energy is 0.51 eV per atom.



[4]
RbHfIn | PBE | optimized geometry

Cell: 9.267 9.267 3.247 Å, 94.71 94.71 135.68°
Positions (direct):
Rb (0.197, 0.803, 0.000)
Rb (0.803, 0.197, 0.000)
Hf (0.188, 0.188, 0.836)
Hf (0.812, 0.812, 0.164)
In (0.406, 0.594, 0.500)
In (0.594, 0.406, 0.500)

Summary:
The uncorrected energy comes out at -4.296 eV/atom. For the energy of formation from the pure elements, the calculation gives 257 meV/atom. The value obtained for the offset from the most stable computed form is 0.60 eV per formula unit.



These records have ρ values of 7.384 7.394 3.046 6.616 Mg/m³, in the order they appear.